Crystalline ScReAg2 at its relaxed geometry. Source: Alexandria via LeMat-Bulk, functional PBE-GGA.

## Properties
Space group: Pm, No. 6
Relative energy among the computed polymorphs in kJ/mol of atoms: 5.2
V in Å³/atom: 17.57
Total magnetic moment in μB per atom: 0.0000
ΔH_f (0 K) in kcal/mol of atoms: 5.8

Cell lengths 2.801, 4.205, 5.967 Å; angles 90.00, 90.25, 90.00 degrees
Element x y z (fractional)
Sc (0.000, 0.000, 0.000)
Re (0.503, 0.500, 0.229)
Ag (0.001, 0.000, 0.485)
Ag (0.500, 0.500, 0.724)